PBE+U NiTeI2O, optimized geometry; space-group type = No. 123; polymorph energy (0 for the lowest one) = 0 meV/atom; ρ = 6.2 g/cm³
1.0
5.826 0.000 0.000
0.000 5.826 0.000
0.000 0.000 3.611
Ni Te I O
1 1 2 1
Direct
0.000 0.000 0.000 Ni
0.500 0.500 0.500 Te
0.000 0.500 0.000 I
0.500 0.000 0.000 I
0.000 0.000 0.500 O